[1]
Here is KNaAg2 after structural relaxation from Alexandria via LeMat-Bulk. Energies are from GGA-PBE.

a = 5.0684 Å, b = 5.0684 Å, c = 17.6479 Å
α = 90.00°, β = 90.00°, γ = 120.00°
Fractional positions:
K  0.0000  0.0000  0.0000
K  0.3333  0.6667  0.6667
K  0.6667  0.3333  0.3333
Na  0.0000  0.0000  0.5000
Na  0.3333  0.6667  0.1667
Na  0.6667  0.3333  0.8333
Ag  0.0000  0.0000  0.1878
Ag  0.0000  0.0000  0.8122
Ag  0.3333  0.6667  0.4789
Ag  0.3333  0.6667  0.8544
Ag  0.6667  0.3333  0.1456
Ag  0.6667  0.3333  0.5211

## Properties
Density, kg/m3: 3525
Polymorph energy (0 for the lowest one), eV/atom: 0.0195
Formation enthalpy at 0 K, meV/atom: 40
Total magnetization, μB per cell: 0.0
Crystal system: trigonal
Calculated total energy, eV per atom: -1.99


[2]
Here is BaInAs2Br after structural relaxation from Alexandria via LeMat-Bulk. Energies are from GGA-PBE.

a = 5.1997 Å, b = 5.1997 Å, c = 5.9953 Å
α = 90.00°, β = 90.00°, γ = 90.00°
Fractional positions:
Ba  0.0000  0.0000  0.0000
In  0.5000  0.5000  0.5000
As  0.0000  0.5000  0.5000
As  0.5000  0.0000  0.5000
Br  0.5000  0.5000  0.0000

## Properties
Density, kg/m3: 4937
Polymorph energy (0 for the lowest one), eV/atom: 0.0000
Total magnetization, μB per cell: 0.0
Crystal system: tetragonal
Uncorrected formation energy, eV per atom: -0.446
Calculated total energy, eV per atom: -3.57


[3]
Here is Er5AlCd4 after structural relaxation from Alexandria via LeMat-Bulk. Energies are from GGA-PBE.

a = 3.6803 Å, b = 3.6803 Å, c = 18.4774 Å
α = 90.00°, β = 90.00°, γ = 90.00°
Fractional positions:
Er  0.0000  0.0000  0.0000
Er  0.0000  0.0000  0.2035
Er  0.0000  0.0000  0.4061
Er  0.0000  0.0000  0.5939
Er  0.0000  0.0000  0.7965
Al  0.5000  0.5000  0.5000
Cd  0.5000  0.5000  0.1021
Cd  0.5000  0.5000  0.3048
Cd  0.5000  0.5000  0.6952
Cd  0.5000  0.5000  0.8979

## Properties
Density, kg/m3: 8711
Formation enthalpy at 0 K, meV/atom: -331
Total magnetization, μB per cell: 0.0
Crystal system: tetragonal
Calculated total energy, eV per atom: -3.35


[4]
Here is ThGa2Br8 after structural relaxation from Alexandria via LeMat-Bulk. Energies are from GGA-PBE.

a = 8.4622 Å, b = 8.4622 Å, c = 7.2404 Å
α = 99.36°, β = 99.36°, γ = 79.45°
Fractional positions:
Th  0.0000  0.0000  0.0000
Ga  0.2200  0.2200  0.6835
Ga  0.7800  0.7800  0.3165
Br  0.0781  0.7270  0.2064
Br  0.1879  0.1879  0.2866
Br  0.2730  0.9219  0.7936
Br  0.4002  0.4002  0.8681
Br  0.5998  0.5998  0.1319
Br  0.7270  0.0781  0.2064
Br  0.8121  0.8121  0.7134
Br  0.9219  0.2730  0.7936

## Properties
Density, kg/m3: 3369
Total magnetization, μB per cell: 0.0
Crystal system: monoclinic
Uncorrected formation energy, eV per atom: -1.035
Calculated total energy, eV per atom: -3.48


[5]
Here is Pm9CdIn2 after structural relaxation from Alexandria via LeMat-Bulk. Energies are from GGA-PBE.

a = 4.9607 Å, b = 4.9607 Å, c = 14.8203 Å
α = 90.00°, β = 90.00°, γ = 90.00°
Fractional positions:
Pm  0.0000  0.0000  0.0000
Pm  0.0000  0.0000  0.3311
Pm  0.0000  0.0000  0.6689
Pm  0.0000  0.5000  0.1666
Pm  0.0000  0.5000  0.5000
Pm  0.0000  0.5000  0.8334
Pm  0.5000  0.0000  0.1666
Pm  0.5000  0.0000  0.5000
Pm  0.5000  0.0000  0.8334
Cd  0.5000  0.5000  0.0000
In  0.5000  0.5000  0.3336
In  0.5000  0.5000  0.6664

## Properties
Density, kg/m3: 7499
Formation enthalpy at 0 K, meV/atom: -217
Total magnetization, μB per cell: 1.0
Crystal system: tetragonal
Calculated total energy, eV per atom: -4.31


[6]
Here is Pr2IrRu3 after structural relaxation from Alexandria via LeMat-Bulk. Energies are from GGA-PBE.

a = 9.3114 Å, b = 5.3730 Å, c = 5.5229 Å
α = 90.00°, β = 124.06°, γ = 90.00°
Fractional positions:
Pr  0.1236  0.0000  0.3705
Pr  0.3764  0.5000  0.6295
Pr  0.6236  0.5000  0.3705
Pr  0.8764  0.0000  0.6295
Ir  0.0000  0.5000  0.5000
Ir  0.5000  0.0000  0.5000
Ru  0.0000  0.5000  0.0000
Ru  0.2500  0.2500  0.0000
Ru  0.2500  0.7500  0.0000
Ru  0.5000  0.0000  0.0000
Ru  0.7500  0.2500  0.0000
Ru  0.7500  0.7500  0.0000

## Properties
Density, kg/m3: 11276
Formation enthalpy at 0 K, meV/atom: -254
Total magnetization, μB per cell: 0.0
Crystal system: monoclinic
Calculated total energy, eV per atom: -7.96


- Which value of calculated total energy does entry 1 give?
  -1.99 eV per atom


- Number 4 is which compound?
  ThGa2Br8


- What is the calculated total energy in the first record?
  -1.99 eV per atom